No. 1
Density functional theory data (GGA-PBE) for a relaxed AcErSn crystal.

a = 3.7291 Å, b = 3.7291 Å, c = 8.4361 Å
α = 90.00°, β = 90.00°, γ = 120.00°
Last column: nearest neighbours and their distance in Å.
Space group P3m1 (No. 156)
Asymmetric unit:
Ac1 0.0000 0.0000 0.0000  3 Sn 3.56, 6 Ac 3.73, 3 Er 3.81
Er1 0.6667 0.3333 0.3727  3 Sn 3.26
Sn1 0.3333 0.6667 0.6636  3 Er 3.26, 3 Ac 3.56

Computed properties:
polymorph energy (0 for the lowest one) = 429 meV per atom
DFT formation energy = -0.5 eV per formula unit

No. 2
Density functional theory data (GGA-PBE) for a relaxed Mg2Ti2Rh3 crystal.

a = 4.3775 Å, b = 4.3894 Å, c = 7.5360 Å
α = 73.10°, β = 73.20°, γ = 60.13°
Last column: nearest neighbours and their distance in Å.
Space group P-1 (No. 2)
Asymmetric unit:
Mg1 0.1292 0.1311 0.1094  5 Rh 2.77-2.82, 3 Mg 2.97-2.98, 3 Ti 3.09
Ti1 0.3795 0.3814 0.3588  7 Rh 2.54-2.73
Rh1 0.0000 0.0000 0.5000  6 Ti 2.72-2.73, 2 Mg 2.77, 6 Rh 2.96-2.97
Rh2 0.2620 0.2604 0.7164  4 Ti 2.54-2.59, 4 Mg 2.79-2.82

Computed properties:
DFT formation energy = -4.3 eV per formula unit

No. 3
Density functional theory data (GGA-PBE) for a relaxed Cu13Rh2 crystal.

a = 6.7297 Å, b = 6.7297 Å, c = 17.9049 Å
α = 90.00°, β = 90.00°, γ = 120.00°
Last column: nearest neighbours and their distance in Å.
Space group R-3m (No. 166, hexagonal axes)
Asymmetric unit:
Cu1 0.0000 0.0000 0.0000  12 Cu 2.40-2.48
Cu2 0.0869 0.5434 0.3105  8 Cu 2.48-2.62, 1 Rh 2.61
Cu3 0.0888 0.5444 0.5587  7 Cu 2.34-2.62, 1 Rh 2.47
Rh1 0.0000 0.0000 0.2343  9 Cu 2.47-2.67

Computed properties:
DFT formation energy = 5.2 eV per formula unit

No. 4
Density functional theory data (GGA-PBE) for a relaxed Rb3Li2HoBr8 crystal.

a = 7.7760 Å, b = 7.7760 Å, c = 9.8807 Å
α = 90.00°, β = 90.00°, γ = 120.00°
Last column: nearest neighbours and their distance in Å.
Space group P-3m1 (No. 164)
Asymmetric unit:
Rb1 0.0000 0.0000 0.0000  6 Br 3.97
Rb2 0.3333 0.6667 0.6321  1 Br 3.23
Li1 0.3333 0.6667 0.1980  4 Br 2.36-2.62
Ho1 0.0000 0.0000 0.5000  6 Br 2.78
Br1 0.1657 0.3314 0.3325  1 Li 2.62, 1 Ho 2.78
Br2 0.3333 0.6667 0.9591  1 Li 2.36

Computed properties:
ΔE_f (raw) = -1.690 eV per atom

No. 5
Density functional theory data (GGA-PBE) for a relaxed Zr2HgN crystal.

a = 6.5984 Å, b = 6.5984 Å, c = 7.1714 Å
α = 90.00°, β = 90.00°, γ = 90.00°
Last column: nearest neighbours and their distance in Å.
Space group I-42d (No. 122)
Asymmetric unit:
Zr1 0.1524 0.2500 0.1250  2 N 2.13
Hg1 0.0000 0.0000 0.5000  8 Zr 2.96-3.31
N1 0.0000 0.0000 0.0000  4 Zr 2.13

Computed properties:
ΔE_f (raw) = -0.590 eV per atom
polymorph energy (0 for the lowest one) = 405 meV per atom

No. 6
Density functional theory data (GGA-PBE) for a relaxed Ac2NdCo3 crystal.

a = 14.6261 Å, b = 8.4937 Å, c = 4.6897 Å
α = 90.00°, β = 90.00°, γ = 90.00°
Last column: nearest neighbours and their distance in Å.
Space group Cmcm (No. 63)
Asymmetric unit:
Ac1 0.1621 0.1709 0.2500  6 Co 3.02-3.18
Nd1 0.0000 0.3427 0.7500  6 Co 2.96-3.14
Co1 0.0000 0.0000 0.0000  2 Co 2.34
Co2 0.1622 0.5000 0.0000  2 Co 2.34

Computed properties:
DFT formation energy = -0.1 eV per formula unit

Total energy in eV per atom, matching the order above: -4.394 -6.475 -4.185 -3.454 -7.021 -5.727